Computed, not measured: a relaxed structure of AcHfCd at the PBE level of DFT.

Values from the calculation:
The calculation puts the relative energy among the computed polymorphs at 0 meV per atom.

Unit cell a=5.1484 b=5.1484 c=5.1484 alpha=60.00 beta=60.00 gamma=60.00
Element x y z (fractional)
Ac 0.0000 0.0000 0.0000
Hf 0.2500 0.2500 0.2500
Cd 0.5000 0.5000 0.5000


Computed, not measured: a relaxed structure of TlSnHg3O4 at the PBE level of DFT.

Values from the calculation:
The calculation puts the energy at -30.156 eV/f.u.

Unit cell a=5.9995 b=5.9995 c=5.9995 alpha=90.00 beta=90.00 gamma=90.00
Element x y z (fractional)
Tl 0.0000 0.0000 0.0000
Sn 0.5000 0.5000 0.5000
Hg 0.0000 0.5000 0.5000
Hg 0.5000 0.0000 0.5000
Hg 0.5000 0.5000 0.0000
O 0.3045 0.3045 0.3045
O 0.3045 0.6955 0.6955
O 0.6955 0.3045 0.6955
O 0.6955 0.6955 0.3045


Computed, not measured: a relaxed structure of Nd2Pb at the PBE level of DFT.

Values from the calculation:
The calculation puts the energy at -13.164 eV/f.u.

Unit cell a=6.4625 b=6.4625 c=6.4625 alpha=60.00 beta=60.00 gamma=60.00
Element x y z (fractional)
Nd 0.0000 0.0000 0.0000
Nd 0.0000 0.0000 0.5000
Nd 0.0000 0.5000 0.0000
Nd 0.5000 0.0000 0.0000
Pb 0.3750 0.3750 0.3750
Pb 0.6250 0.6250 0.6250


Computed, not measured: a relaxed structure of LiMg2Au at the PBE level of DFT.

Values from the calculation:
The calculation puts the energy at -9.207 eV/f.u.

Unit cell a=4.6525 b=4.6525 c=8.2061 alpha=90.00 beta=90.00 gamma=120.00
Element x y z (fractional)
Li 0.0000 0.0000 0.0000
Li 0.0000 0.0000 0.5000
Mg 0.3333 0.6667 0.0862
Mg 0.3333 0.6667 0.4138
Mg 0.6667 0.3333 0.5862
Mg 0.6667 0.3333 0.9138
Au 0.3333 0.6667 0.7500
Au 0.6667 0.3333 0.2500


Computed, not measured: a relaxed structure of GdMgCuSe2S at the PBE level of DFT.

Values from the calculation:
The calculation puts the energy at -28.094 eV/f.u.

Unit cell a=6.5582 b=6.5582 c=10.4828 alpha=90.00 beta=90.00 gamma=145.96
Element x y z (fractional)
Gd 0.0000 0.0000 0.0000
Gd 0.0000 0.0000 0.5000
Mg 0.2503 0.7497 0.7500
Mg 0.7497 0.2503 0.2500
Cu 0.4819 0.5181 0.2500
Cu 0.5181 0.4819 0.7500
Se 0.3473 0.6527 0.0813
Se 0.3473 0.6527 0.4187
Se 0.6527 0.3473 0.5813
Se 0.6527 0.3473 0.9187
S 0.0946 0.9054 0.2500
S 0.9054 0.0946 0.7500


Computed, not measured: a relaxed structure of Pr2Dy2CIBr4 at the PBE level of DFT.

Values from the calculation:
The calculation puts the relative energy among the computed polymorphs at 0 meV per atom.

Unit cell a=9.2884 b=9.2884 c=8.9238 alpha=102.76 beta=102.76 gamma=24.67
Element x y z (fractional)
Pr 0.0015 0.0015 0.3041
Pr 0.9985 0.9985 0.6959
Dy 0.3636 0.3636 0.4320
Dy 0.6364 0.6364 0.5680
C 0.5000 0.5000 0.5000
I 0.5000 0.5000 0.0000
Br 0.1686 0.1686 0.8066
Br 0.1742 0.1742 0.3585
Br 0.8258 0.8258 0.6415
Br 0.8314 0.8314 0.1934


Computed, not measured: a relaxed structure of LuNp at the PBE level of DFT.

Values from the calculation:
The calculation puts the relative energy among the computed polymorphs at 0 meV per atom.

Unit cell a=3.2425 b=3.2425 c=5.6719 alpha=90.00 beta=90.00 gamma=120.00
Element x y z (fractional)
Lu 0.0000 0.0000 0.0000
Np 0.6667 0.3333 0.5000


Computed, not measured: a relaxed structure of NdGdErTmIn2 at the PBE level of DFT.

Values from the calculation:
The calculation puts the energy at -25.968 eV/f.u.

Unit cell a=5.4066 b=5.4066 c=6.7705 alpha=90.00 beta=90.00 gamma=120.00
Element x y z (fractional)
Nd 0.0000 0.0000 0.0000
Gd 0.6667 0.3333 0.2594
Er 0.6667 0.3333 0.7461
Tm 0.3333 0.6667 0.5055
In 0.0000 0.0000 0.5036
In 0.3333 0.6667 0.0011